Below is Y2MgRh2 after structural relaxation, with properties calculated at the GGA-PBE level.

Unit cell a=4.7469 b=4.7469 c=6.3830 alpha=68.17 beta=68.17 gamma=90.00
With the nearest neighbours (Å) after each atom.
Element x y z (fractional)
Y: 0.2500 0.7500 0.5000  4 Rh 2.78
Y: 0.7500 0.2500 0.5000  4 Rh 2.78
Rh: 0.6158 0.6158 0.7683  1 Rh 2.52, 4 Y 2.78
Rh: 0.3842 0.3842 0.2317  1 Rh 2.52, 4 Y 2.78
Mg: 0.0000 0.0000 0.0000  8 Rh 3.58, 8 Y 3.61

**Spin magnetization**: 0.00 μB/f.u.
**Total energy**: -6.144 eV/atom
**Energy relative to the elements**: -0.299 eV/atom

---

Below is Ce12Os6Pb after structural relaxation, with properties calculated at the GGA-PBE level.

Unit cell a=8.4644 b=8.4644 c=8.4644 alpha=107.36 beta=107.36 gamma=107.36
With the nearest neighbours (Å) after each atom.
Element x y z (fractional)
Ce: 0.5780 0.5780 0.8421  3 Os 2.70-2.98
Ce: 0.8810 0.1190 0.5000  4 Os 2.84-2.98
Ce: 0.4220 0.4220 0.1579  3 Os 2.70-2.98
Ce: 0.4220 0.1579 0.4220  3 Os 2.70-2.98
Ce: 0.8810 0.5000 0.1190  4 Os 2.84-2.98
Ce: 0.5780 0.8421 0.5780  3 Os 2.70-2.98
Ce: 0.8421 0.5780 0.5780  3 Os 2.70-2.98
Ce: 0.1190 0.8810 0.5000  4 Os 2.84-2.98
Ce: 0.5000 0.8810 0.1190  4 Os 2.84-2.98
Ce: 0.1190 0.5000 0.8810  4 Os 2.84-2.98
Ce: 0.1579 0.4220 0.4220  3 Os 2.70-2.98
Ce: 0.5000 0.1190 0.8810  4 Os 2.84-2.98
Os: 0.6877 0.2673 0.2673  7 Ce 2.70-2.98
Os: 0.7327 0.3123 0.7327  7 Ce 2.70-2.98
Os: 0.3123 0.7327 0.7327  7 Ce 2.70-2.98
Os: 0.2673 0.2673 0.6877  7 Ce 2.70-2.98
Os: 0.7327 0.7327 0.3123  7 Ce 2.70-2.98
Os: 0.2673 0.6877 0.2673  7 Ce 2.70-2.98
Pb: 0.0000 0.0000 0.0000  6 Ce 3.74

**Spin magnetization**: 6.70 μB/f.u.
**Total energy**: -7.524 eV/atom
**Energy relative to the elements**: -0.035 eV/atom

---

Below is CrAgRu after structural relaxation, with properties calculated at the GGA-PBE level.

Unit cell a=2.7237 b=2.7237 c=6.8258 alpha=90.00 beta=90.00 gamma=120.00
With the nearest neighbours (Å) after each atom.
Element x y z (fractional)
Ru: 0.6667 0.3333 0.6370  3 Cr 2.48, 6 Ru 2.72
Cr: 0.3333 0.6667 0.3564  3 Ru 2.48, 6 Cr 2.72
Ag: 0.0000 0.0000 0.0065  6 Ag 2.72, 3 Cr 2.86, 3 Ru 2.97

**Spin magnetization**: 0.00 μB/f.u.
**Energy relative to the lowest polymorph listed for this composition**: 0.000 eV/atom
**Total energy**: -6.914 eV/atom
**Energy relative to the elements**: 0.336 eV/atom

---

Below is MgTiSiO5 after structural relaxation, with properties calculated at the GGA-PBE level.

Unit cell a=5.4469 b=5.4469 c=7.3184 alpha=73.19 beta=73.19 gamma=98.14
With the nearest neighbours (Å) after each atom.
Element x y z (fractional)
O: 0.4000 0.5747 0.2749  1 Ti 1.81, 1 Mg 1.99
O: 0.7479 0.8260 0.4143  1 Si 1.64
O: 0.1864 0.6328 0.6368  1 Si 1.65
O: 0.3162 0.7771 0.9244  1 Si 1.65
O: 0.2070 0.1399 0.6348  1 Si 1.63
O: 0.8260 0.7479 0.9143  1 Si 1.64
O: 0.6328 0.1864 0.1368  1 Si 1.65
O: 0.7771 0.3162 0.4244  1 Si 1.65
O: 0.1399 0.2070 0.1348  1 Si 1.63
O: 0.5747 0.4000 0.7749  1 Ti 1.81, 1 Mg 1.99
Mg: 0.9182 0.3247 0.6488  4 O 1.98-2.03
Mg: 0.3247 0.9182 0.1488  4 O 1.98-2.03
Si: 0.1407 0.8273 0.7727  4 O 1.63-1.65
Si: 0.8273 0.1407 0.2727  4 O 1.63-1.65
Ti: 0.5059 0.4977 0.9970  3 O 1.81-1.99
Ti: 0.4977 0.5059 0.4970  3 O 1.81-1.99

**Spin magnetization**: 0.00 μB/f.u.
**Energy relative to the lowest polymorph listed for this composition**: 0.000 eV/atom
**Total energy**: -7.803 eV/atom
**Formation energy (no corrections)**: -2.8397 eV/atom

---

Q: Which of these has the highest total energy?
A: Y2MgRh2